(1)
Here is a geometry-optimized Ca2Cd12Ag structure from Alexandria via LeMat-Bulk. Energies are from PBE-GGA.

Geometry as POSCAR:
```
Ca2Cd12Ag
1.0
-5.035 3.386 -1.655
-2.867 -5.234 -1.986
-7.454 -2.547 17.469
Ca Cd Ag
4 24 2
Direct
0.500 0.000 0.254 Ca
0.000 0.500 0.254 Ca
0.000 0.500 0.746 Ca
0.500 0.000 0.746 Ca
0.500 0.500 0.808 Cd
0.000 0.000 0.808 Cd
0.750 0.750 0.908 Cd
0.250 0.750 0.908 Cd
0.000 0.000 0.337 Cd
0.250 0.750 0.092 Cd
0.831 0.331 0.567 Cd
0.500 0.500 0.337 Cd
0.250 0.250 0.908 Cd
0.750 0.750 0.092 Cd
0.331 0.169 0.567 Cd
0.669 0.169 0.433 Cd
0.000 0.000 0.663 Cd
0.169 0.331 0.433 Cd
0.250 0.250 0.092 Cd
0.831 0.669 0.433 Cd
0.669 0.831 0.567 Cd
0.000 0.000 0.192 Cd
0.169 0.669 0.567 Cd
0.500 0.500 0.663 Cd
0.750 0.250 0.908 Cd
0.500 0.500 0.192 Cd
0.331 0.831 0.433 Cd
0.750 0.250 0.092 Cd
0.500 0.000 0.000 Ag
0.000 0.500 0.000 Ag
```

Theoretical density in g/cm3: 6.73
Calculated volume in Å³/f.u.: 379.0
SG: P4/nbm (125)
D(E_F) in states/eV/atom: 0.441
ΔE_f in meV per atom: -104

(2)
Here is a geometry-optimized Ca3Cd5Ag2 structure from Alexandria via LeMat-Bulk. Energies are from PBE-GGA.

Geometry as POSCAR:
```
Ca3Cd5Ag2
1.0
-5.067 -7.568 -2.497
4.300 -0.217 -8.066
4.780 0.143 7.726
Ca Cd Ag
6 10 4
Direct
0.250 0.000 0.000 Ca
0.750 0.000 0.000 Ca
0.639 0.407 0.279 Ca
0.361 0.593 0.721 Ca
0.139 0.872 0.279 Ca
0.861 0.128 0.721 Ca
0.250 0.500 0.000 Cd
0.750 0.500 0.000 Cd
0.991 0.741 0.483 Cd
0.509 0.259 0.517 Cd
0.009 0.259 0.517 Cd
0.491 0.741 0.483 Cd
0.886 0.513 0.771 Cd
0.114 0.487 0.229 Cd
0.386 0.258 0.771 Cd
0.614 0.742 0.229 Cd
0.861 0.790 0.722 Ag
0.139 0.210 0.278 Ag
0.361 0.932 0.722 Ag
0.639 0.068 0.278 Ag
```

Theoretical density in g/cm3: 5.51
Calculated volume in Å³/f.u.: 270.9
SG: Ibam (72)
D(E_F) in states/eV/atom: 0.536
ΔE_f in meV per atom: -178

(3)
Here is a geometry-optimized CaCd3Ag2 structure from Alexandria via LeMat-Bulk. Energies are from PBE-GGA.

Geometry as POSCAR:
```
CaCd3Ag2
1.0
4.879 0.000 0.000
-2.440 4.225 0.000
0.000 0.000 13.136
Ca Cd Ag
2 6 4
Direct
0.000 0.000 0.250 Ca
0.000 0.000 0.750 Ca
0.000 0.000 0.500 Cd
0.000 0.000 0.000 Cd
0.667 0.333 0.598 Cd
0.333 0.667 0.098 Cd
0.667 0.333 0.902 Cd
0.333 0.667 0.402 Cd
0.667 0.333 0.366 Ag
0.333 0.667 0.634 Ag
0.333 0.667 0.866 Ag
0.667 0.333 0.134 Ag
```

Theoretical density in g/cm3: 7.27
Calculated volume in Å³/f.u.: 135.4
SG: P6_3/mmc (194)
D(E_F) in states/eV/atom: 0.433
ΔE_f in meV per atom: -189

(4)
Here is a geometry-optimized Ca2CdAg structure from Alexandria via LeMat-Bulk. Energies are from PBE-GGA.

Geometry as POSCAR:
```
Ca2CdAg
1.0
-1.191 -5.985 0.011
1.634 -5.477 2.138
-3.131 -0.986 4.395
Ca Ag Cd
2 1 1
Direct
0.975 0.975 0.060 Ca
0.770 0.770 0.697 Ca
0.229 0.229 0.222 Ag
0.527 0.527 0.521 Cd
```

Theoretical density in g/cm3: 4.58
Calculated volume in Å³/f.u.: 109.0
SG: Cm (8)
D(E_F) in states/eV/atom: 0.699
ΔE_f in meV per atom: -255

(5)
Here is a geometry-optimized Ca2CdAg structure from Alexandria via LeMat-Bulk. Energies are from PBE-GGA.

Geometry as POSCAR:
```
Ca2CdAg
1.0
-2.686 -0.871 -2.436
-1.742 -2.069 2.660
-5.717 4.040 4.858
Ca Ag Cd
2 1 1
Direct
0.000 0.008 0.992 Ca
0.000 0.492 0.508 Ca
0.500 0.750 0.750 Ag
0.500 0.250 0.250 Cd
```

Theoretical density in g/cm3: 4.63
Calculated volume in Å³/f.u.: 107.7
SG: P2/m (10)
D(E_F) in states/eV/atom: 0.724
ΔE_f in meV per atom: -331

(6)
Here is a geometry-optimized Ca2Cd3Ag4 structure from Alexandria via LeMat-Bulk. Energies are from PBE-GGA.

Geometry as POSCAR:
```
Ca2Cd3Ag4
1.0
4.903 0.000 0.003
2.451 4.387 0.361
0.002 0.084 9.269
Ca Cd Ag
2 3 4
Direct
0.323 0.355 0.776 Ca
0.677 0.645 0.224 Ca
0.346 0.308 0.422 Cd
0.000 0.000 0.000 Cd
0.654 0.692 0.578 Cd
0.660 0.680 0.898 Ag
0.019 0.960 0.351 Ag
0.981 0.040 0.649 Ag
0.340 0.320 0.102 Ag
```

Theoretical density in g/cm3: 7.07
Calculated volume in Å³/f.u.: 199.2
SG: P-1 (2)
D(E_F) in states/eV/atom: 0.392
ΔE_f in meV per atom: -222

(7)
Here is a geometry-optimized CaCd3Ag structure from Alexandria via LeMat-Bulk. Energies are from PBE-GGA.

Geometry as POSCAR:
```
CaCd3Ag
1.0
-4.614 2.499 0.077
-2.408 -4.399 -1.548
-0.672 -1.396 5.014
Ca Ag Cd
1 1 3
Direct
0.500 0.500 0.500 Ca
0.000 0.000 0.000 Ag
0.000 0.500 0.000 Cd
0.000 0.000 0.500 Cd
0.500 0.000 0.000 Cd
```

Theoretical density in g/cm3: 5.57
Calculated volume in Å³/f.u.: 144.6
SG: Pm-3m (221)
D(E_F) in states/eV/atom: 0.413
ΔE_f in meV per atom: 38

(8)
Here is a geometry-optimized Ca2Cd5Ag12 structure from Alexandria via LeMat-Bulk. Energies are from PBE-GGA.

Geometry as POSCAR:
```
Ca2Cd5Ag12
1.0
7.381 0.146 0.780
0.717 7.348 0.780
0.158 0.146 7.420
Ca Cd Ag
2 5 12
Direct
0.650 0.650 0.650 Ca
0.350 0.350 0.350 Ca
0.000 0.000 0.500 Cd
0.000 0.500 0.000 Cd
0.500 0.000 0.000 Cd
0.899 0.899 0.899 Cd
0.101 0.101 0.101 Cd
0.312 0.688 0.000 Ag
0.688 0.000 0.312 Ag
0.000 0.312 0.688 Ag
0.688 0.312 0.000 Ag
0.312 0.000 0.688 Ag
0.000 0.688 0.312 Ag
0.348 0.348 0.839 Ag
0.348 0.839 0.348 Ag
0.839 0.348 0.348 Ag
0.652 0.161 0.652 Ag
0.652 0.652 0.161 Ag
0.161 0.652 0.652 Ag
```

Theoretical density in g/cm3: 8.04
Calculated volume in Å³/f.u.: 400.0
SG: R-3m (166)
D(E_F) in states/eV/atom: 0.170
ΔE_f in meV per atom: -124

(9)
Here is a geometry-optimized Ca2CdAg2 structure from Alexandria via LeMat-Bulk. Energies are from PBE-GGA.

Geometry as POSCAR:
```
Ca2CdAg2
1.0
3.909 0.000 0.000
0.000 3.909 0.000
1.955 1.955 8.814
Ca Ag Cd
2 2 1
Direct
0.393 0.393 0.215 Ca
0.607 0.607 0.785 Ca
0.750 0.250 0.500 Ag
0.250 0.750 0.500 Ag
0.000 0.000 0.000 Cd
```

Theoretical density in g/cm3: 5.03
Calculated volume in Å³/f.u.: 134.7
SG: I4/mmm (139)
D(E_F) in states/eV/atom: 0.676
ΔE_f in meV per atom: -183

(10)
Here is a geometry-optimized Ca4CdAg structure from Alexandria via LeMat-Bulk. Energies are from PBE-GGA.

Geometry as POSCAR:
```
Ca4CdAg
1.0
0.000 4.726 4.726
4.726 0.000 4.726
4.726 4.726 0.000
Ca Cd Ag
4 1 1
Direct
0.875 0.375 0.375 Ca
0.375 0.375 0.875 Ca
0.375 0.875 0.375 Ca
0.375 0.375 0.375 Ca
0.750 0.750 0.750 Cd
0.000 0.000 0.000 Ag
```

Theoretical density in g/cm3: 2.99
Calculated volume in Å³/f.u.: 211.2
SG: F-43m (216)
D(E_F) in states/eV/atom: 1.151
ΔE_f in meV per atom: 348

(11)
Here is a geometry-optimized CaCd6Ag structure from Alexandria via LeMat-Bulk. Energies are from PBE-GGA.

Geometry as POSCAR:
```
CaCd6Ag
1.0
5.078 0.000 0.000
0.000 6.446 -0.207
0.000 -3.039 5.688
Ca Cd Ag
1 6 1
Direct
0.500 0.416 0.584 Ca
0.000 0.073 0.411 Cd
0.000 0.589 0.927 Cd
0.000 0.588 0.412 Cd
0.500 0.415 0.083 Cd
0.500 0.917 0.585 Cd
0.500 0.918 0.082 Cd
0.000 0.084 0.916 Ag
```

Theoretical density in g/cm3: 7.46
Calculated volume in Å³/f.u.: 183.0
SG: Amm2 (38)
D(E_F) in states/eV/atom: 0.202
ΔE_f in meV per atom: -97

(12)
Here is a geometry-optimized CaCdAg2 structure from Alexandria via LeMat-Bulk. Energies are from PBE-GGA.

Geometry as POSCAR:
```
CaCdAg2
1.0
5.427 0.022 -0.044
1.746 5.138 0.044
-3.562 -2.614 3.151
Ca Ag Cd
1 2 1
Direct
0.500 0.500 0.000 Ca
0.000 0.000 0.000 Ag
0.750 0.250 0.500 Ag
0.250 0.750 0.500 Cd
```

Theoretical density in g/cm3: 6.97
Calculated volume in Å³/f.u.: 87.8
SG: I-4m2 (119)
D(E_F) in states/eV/atom: 0.351
ΔE_f in meV per atom: -208